Entry from the Alexandria database: a crystal of SiHgPb2 relaxed with PBEsol (SCAN). Values from VASP.

The structure in Quantum ESPRESSO input format:
```
&SYSTEM
  ibrav = 0, nat = 4, ntyp = 3
/
ATOMIC_SPECIES
Hg 200.59 Hg.upf
Si 28.09 Si.upf
Pb 207.20 Pb.upf
CELL_PARAMETERS angstrom
3.4002 0.0000 0.0000
1.7001 2.9446 0.0000
1.7001 0.9815 10.1332
ATOMIC_POSITIONS angstrom
Hg 0.0000 0.0000 0.0000
Si 3.4002 1.9631 5.0666
Pb 1.7001 0.9815 2.7846
Pb 5.1003 2.9446 7.3487
```

Properties
Raw total energy ... -57.08 eV/atom
Density of states at the Fermi level ... 1.62 states/eV/cell
Energy above the most stable polymorph in this dataset ... 0 meV per atom